1.
Material: LaVCoCl2
Method: DFT, PBE-GGA
State: relaxed

Calculated values
crystal system = tetragonal
uncorrected formation energy = -0.374 eV per atom
raw total energy = -26.7 eV/cell
spin magnetization = 0.288 μB/atom

The structure in extended XYZ format:
```
5
Lattice="4.6336 0.0000 0.0000 0.0000 4.6355 0.0000 0.0000 0.0000 4.6336" Properties=species:S:1:pos:R:3 pbc="T T T"
La 2.3168 2.3177 2.3168
Co 0.0000 2.3177 0.0000
Cl 0.0000 0.0000 2.3168
V 0.0000 0.0000 0.0000
Cl 2.3168 0.0000 0.0000
```

***

2.
Material: Hf6Zn5Rh
Method: DFT, PBE-GGA
State: relaxed

Calculated values
crystal system = orthorhombic
calculated formation energy = -3.39 eV per formula unit
raw total energy = -76.8 eV/cell
spin magnetization = 0.000 μB/atom

The structure in extended XYZ format:
```
12
Lattice="4.4886 -0.0049 -1.2589 -3.3709 6.5319 -3.4069 -0.1682 -0.9668 8.0419" Properties=species:S:1:pos:R:3 pbc="T T T"
Zn -1.2342 1.5292 4.2311
Zn 0.4747 2.7801 1.6881
Hf -0.2942 2.6229 -1.0543
Zn -2.3049 4.0359 0.4039
Hf -1.5283 4.1863 3.1695
Hf 2.4778 1.3739 0.2067
Hf 0.1840 5.4182 0.6427
Rh 0.0000 0.0000 0.0000
Zn 1.5317 0.3055 5.4662
Zn -0.5822 5.2547 -2.0901
Hf 0.7654 0.1420 2.7335
Hf 1.2437 2.9373 4.4305
```

***

3.
Material: Rb3InTe
Method: DFT, PBE-GGA
State: relaxed

Calculated values
crystal system = cubic
uncorrected formation energy = -0.285 eV per atom
raw total energy = -10.2 eV/cell
spin magnetization = 0.383 μB/atom
energy above the lowest structure with this stoichiometry = 0.000 eV/atom

The structure in extended XYZ format:
```
5
Lattice="-0.6401 5.5289 -4.2131 -6.4982 1.0264 2.3342 2.4682 4.1360 5.0527" Properties=species:S:1:pos:R:3 pbc="T T T"
In -2.3350 5.3456 1.5869
Rb 1.2341 2.0680 2.5263
Rb -0.3201 2.7644 -2.1065
Rb -3.2491 0.5132 1.1671
Te 0.0000 0.0000 0.0000
```